A plane-wave DFT calculation with GGA+U was carried out for PrAgMoO5 after structural relaxation.

a = 9.027 Å, b = 9.284 Å, c = 8.836 Å
α = 90.00°, β = 119.36°, γ = 90.00°
Space group C2/c (No. 15)
Inequivalent atoms, fractional coordinates:
Pr: 0.000 0.000 0.000 [4 per cell]
Ag: 0.000 0.301 0.250 [4 per cell]
Mo: 0.000 0.366 0.750 [4 per cell]
O: 0.000 0.074 0.250 [4 per cell]
O: 0.003 0.253 0.588 [8 per cell]
O: 0.187 0.480 0.847 [8 per cell]

The mass density is 4.371 g cm⁻³. The total magnetic moment comes out at 0.00 μB per cell. For the total energy, the calculation gives -6.782 eV per atom.